The following is a DFT calculation (PBE-GGA) of a relaxed structure of Ba2BeTe.

Results
- Volume: 294.14 Å³ per cell
- Raw formation energy: -0.5170 eV/atom
- Fermi-level density of states: 5.1 states/eV/cell
- Energy above the lowest structure with this stoichiometry: 116 meV/atom

a = 6.721 Å, b = 6.872 Å, c = 6.925 Å
α = 89.08°, β = 71.88°, γ = 75.83°
Space group P-1 (No. 2)
Symmetry-distinct sites (fractional):
Ba (0.213, 0.198, 0.411)
Ba (0.247, 0.725, 0.961)
Be (0.418, 0.612, 0.419)
Te (0.324, 0.218, 0.859)


The following is a DFT calculation (PBE-GGA) of a relaxed structure of BaBeTe2.

Results
- Volume: 132.41 Å³ per cell
- Raw formation energy: -0.6364 eV/atom
- Fermi-level density of states: 0.3 states/eV/cell

a = 4.549 Å, b = 3.872 Å, c = 7.578 Å
α = 90.00°, β = 97.24°, γ = 90.00°
Space group P2/m (No. 10)
Symmetry-distinct sites (fractional):
Ba (0.000, 0.000, 0.000)
Be (0.500, 0.000, 0.500)
Te (0.443, 0.500, 0.723)


The following is a DFT calculation (PBE-GGA) of a relaxed structure of Ba4BeTe.

Results
- Volume: 1061.14 Å³ per cell
- Raw formation energy: 0.4615 eV/atom
- Fermi-level density of states: 29.5 states/eV/cell

a = 10.200 Å, b = 10.200 Å, c = 10.200 Å
α = 90.00°, β = 90.00°, γ = 90.00°
Space group F-43m (No. 216)
Symmetry-distinct sites (fractional):
Ba (0.124, 0.124, 0.376)
Be (0.000, 0.000, 0.000)
Te (0.250, 0.250, 0.750)


The following is a DFT calculation (PBE-GGA) of a relaxed structure of BaBeTe2.

Results
- Volume: 595.46 Å³ per cell
- Raw formation energy: -0.7908 eV/atom
- Fermi-level density of states: 0.0 states/eV/cell

a = 5.4601 Å, b = 5.4601 Å, c = 23.0630 Å
α = 90.00°, β = 90.00°, γ = 120.00°
Space group R-3m (No. 166, hexagonal axes)
Symmetry-distinct sites (fractional):
Ba (0.0000, 0.0000, 0.0000)
Be (0.0000, 0.0000, 0.5000)
Te (0.0000, 0.0000, 0.4036)


The following is a DFT calculation (PBE-GGA) of a relaxed structure of BaBeTe.

Results
- Volume: 384.99 Å³ per cell
- Raw formation energy: -0.1150 eV/atom
- Fermi-level density of states: 7.0 states/eV/cell
- Energy above the lowest structure with this stoichiometry: 322 meV/atom

a = 7.275 Å, b = 7.275 Å, c = 7.275 Å
α = 90.00°, β = 90.00°, γ = 90.00°
Space group F-43m (No. 216)
Symmetry-distinct sites (fractional):
Ba (0.000, 0.000, 0.000)
Be (0.250, 0.250, 0.250)
Te (0.000, 0.000, 0.500)


The following is a DFT calculation (PBE-GGA) of a relaxed structure of Ba2BeTe.

Results
- Volume: 652.07 Å³ per cell
- Raw formation energy: -0.6325 eV/atom
- Fermi-level density of states: 5.9 states/eV/cell
- Energy above the lowest structure with this stoichiometry: 0 meV/atom

a = 17.577 Å, b = 4.383 Å, c = 9.669 Å
α = 90.00°, β = 118.92°, γ = 90.00°
Space group C2/m (No. 12)
Symmetry-distinct sites (fractional):
Ba (0.029, 0.000, 0.219)
Ba (0.186, 0.500, 0.748)
Be (0.000, 0.248, 0.500)
Te (0.137, 0.500, 0.066)